# PBE-GGA ThPd3S4, relaxed
data_ThPd3S4
_symmetry_space_group_name_H-M 'P m -3 n'
_symmetry_Int_Tables_number 223
_symmetry_space_group_name_Hall '-P 4n 2 3'
_cell_length_a 6.752
_cell_length_b 6.752
_cell_length_c 6.752
_cell_angle_alpha 90.00
_cell_angle_beta 90.00
_cell_angle_gamma 90.00
loop_
_atom_site_label
_atom_site_type_symbol
_atom_site_fract_x
_atom_site_fract_y
_atom_site_fract_z
_atom_site_occupancy
Th1 Th 0.000 0.000 0.000 1
Pd1 Pd 0.000 0.250 0.500 1
S1 S 0.250 0.250 0.250 1
# DFT total energy = -94.2 eV/cell
# formation energy from raw total energies = -0.95 eV per atom
# spin magnetization = 0.00 μB per formula unit